Record 1
A relaxed NdPuSb2 crystal. Source: Alexandria, functional PBE-GGA.

## Properties
raw formation energy: -0.782 eV/atom
SG: R3m (160)
total magnetization: 5.0 μB/f.u.
energy relative to the lowest polymorph listed for this composition: 106 meV/atom
electronic total energy: -30.47 eV/cell

extended XYZ file:
```
4
Lattice="4.4494 0.0000 0.0000 2.2247 3.8533 0.0000 2.2247 1.2844 7.5423" Properties=species:S:1:pos:R:3 pbc="T T T"
Sb 2.2247 1.2844 1.7974
Sb 2.2247 1.2844 5.7422
Pu 6.6741 3.8533 7.4926
Nd 4.4494 2.5689 3.8235
```


Record 2
A relaxed NdPu2Sb3 crystal. Source: Alexandria, functional PBE-GGA.

## Properties
raw formation energy: -0.785 eV/atom
SG: Immm (71)
total magnetization: 10.1 μB/f.u.
electronic total energy: -50.51 eV/cell

extended XYZ file:
```
6
Lattice="-3.9228 -2.0733 0.4257 2.8408 -4.7601 2.9946 -0.4550 6.5025 4.1397" Properties=species:S:1:pos:R:3 pbc="T T T"
Sb -0.5410 -3.4167 1.7101
Sb -0.3422 1.0603 2.0100
Sb -1.1948 -1.3913 5.5499
Pu -2.6287 1.0309 4.1324
Pu 1.0917 -1.3619 3.4276
Nd -1.9614 -1.0367 0.2129
```


Record 3
A relaxed NdPuSb2 crystal. Source: Alexandria, functional PBE-GGA.

## Properties
raw formation energy: -0.887 eV/atom
SG: R-3m (166)
total magnetization: 5.0 μB/f.u.
energy relative to the lowest polymorph listed for this composition: 0 meV/atom
electronic total energy: -30.89 eV/cell

extended XYZ file:
```
4
Lattice="-1.2777 -0.5600 4.2569 -1.6249 -3.9504 1.3497 5.7700 -3.6818 3.6045" Properties=species:S:1:pos:R:3 pbc="T T T"
Nd 1.4337 -4.0961 4.6055
Pu 0.0000 0.0000 0.0000
Sb 0.6565 -2.0285 2.2872
Sb 2.2110 -6.1636 6.9238
```


Record 4
A relaxed NdPu3Sb4 crystal. Source: Alexandria, functional PBE-GGA.

## Properties
raw formation energy: -0.725 eV/atom
SG: P2/c (13)
total magnetization: 5.3 μB/f.u.
electronic total energy: -140.11 eV/cell

extended XYZ file:
```
16
Lattice="-4.6982 -5.9938 -1.1974 6.4637 -0.9473 -4.0829 3.7114 -4.2813 6.8688" Properties=species:S:1:pos:R:3 pbc="T T T"
Pu 0.1711 -5.5029 -2.0829
Pu -2.1347 -6.0976 1.6726
Pu 3.4482 -3.5766 0.2334
Pu 5.3059 -5.7195 3.6714
Pu 2.0287 -7.6458 1.3551
Pu 1.1479 -4.1775 3.9989
Sb 2.5448 -6.9710 4.3512
Sb 1.5504 -8.3047 -1.6484
Sb 3.9265 -2.9177 3.2369
Sb 0.6735 -4.8718 0.9652
Sb 2.9321 -4.2514 -2.7626
Sb 4.8034 -6.3506 0.6234
Sb -2.5694 -6.7782 -1.3650
Sb 8.0463 -4.4441 2.9535
Nd -0.7122 -2.0318 0.5563
Nd -0.2746 -8.2433 5.1151
```


Record 5
A relaxed Nd4PuSb5 crystal. Source: Alexandria, functional PBE-GGA.

## Properties
raw formation energy: -1.063 eV/atom
SG: I4/mmm (139)
total magnetization: 5.0 μB/f.u.
electronic total energy: -64.65 eV/cell

extended XYZ file:
```
10
Lattice="4.5090 0.0000 0.0000 0.0000 4.5090 0.0000 -2.2545 -2.2545 15.9197" Properties=species:S:1:pos:R:3 pbc="T T T"
Pu 0.0000 0.0000 0.0000
Nd 0.0000 0.0000 12.7276
Nd 2.2545 2.2545 9.5636
Nd 0.0000 0.0000 6.3562
Nd 2.2545 2.2545 3.1922
Sb 0.0000 0.0000 9.5507
Sb 2.2545 2.2545 12.7788
Sb 2.2545 2.2545 6.3690
Sb 2.2545 2.2545 0.0000
Sb 0.0000 0.0000 3.1409
```


Record 6
A relaxed Nd3PuSb4 crystal. Source: Alexandria, functional PBE-GGA.

## Properties
raw formation energy: -1.028 eV/atom
SG: Pm-3m (221)
total magnetization: 5.1 μB/f.u.
energy relative to the lowest polymorph listed for this composition: 4 meV/atom
electronic total energy: -53.35 eV/cell

extended XYZ file:
```
8
Lattice="-4.9443 -2.9112 -2.7611 -2.6678 -0.8878 5.7131 -2.9970 5.5930 -0.5303" Properties=species:S:1:pos:R:3 pbc="T T T"
Nd -3.8060 -1.8995 1.4760
Nd -2.8324 2.3526 2.5914
Nd -3.9707 1.3409 -1.6457
Sb -1.3339 -0.4439 2.8566
Sb -5.3045 0.8970 1.2108
Sb -2.4721 -1.4556 -1.3806
Sb -1.4985 2.7965 -0.2652
Pu 0.0000 0.0000 0.0000
```


Record 7
A relaxed NdPu4Sb5 crystal. Source: Alexandria, functional PBE-GGA.

## Properties
raw formation energy: -0.706 eV/atom
SG: C2/m (12)
total magnetization: 20.1 μB/f.u.
electronic total energy: -89.76 eV/cell

extended XYZ file:
```
10
Lattice="4.3367 0.0000 0.9906 1.8310 7.2074 1.9722 0.0124 0.0208 9.9338" Properties=species:S:1:pos:R:3 pbc="T T T"
Sb 3.6462 0.7163 4.0135
Sb 2.5339 6.5119 8.8831
Sb 2.2954 2.2551 9.9270
Sb 0.9217 3.6141 5.9530
Sb 3.8847 4.9731 2.9696
Pu 1.5984 2.8521 2.9902
Pu 4.5816 4.3761 9.9063
Pu 3.2088 5.7585 5.9282
Pu 2.9712 1.4697 6.9684
Nd 0.0000 0.0000 0.0000
```


Record 8
A relaxed Nd2PuSb crystal. Source: Alexandria, functional PBE-GGA.

## Properties
raw formation energy: -0.141 eV/atom
SG: R-3m (166)
total magnetization: 6.5 μB/f.u.
energy relative to the lowest polymorph listed for this composition: 302 meV/atom
electronic total energy: -28.55 eV/cell

extended XYZ file:
```
4
Lattice="3.6667 0.0000 0.0000 1.8334 3.1755 0.0000 1.8334 1.0585 10.7824" Properties=species:S:1:pos:R:3 pbc="T T T"
Pu 3.6667 2.1170 5.3912
Nd 1.8334 1.0585 2.5571
Nd 5.5001 3.1755 8.2254
Sb 0.0000 0.0000 0.0000
```


Record 9
A relaxed NdPu2Sb crystal. Source: Alexandria, functional PBE-GGA.

## Properties
raw formation energy: -0.399 eV/atom
SG: P4/mmm (123)
total magnetization: 12.1 μB/f.u.
electronic total energy: -39.15 eV/cell

extended XYZ file:
```
4
Lattice="-1.2676 -1.5704 4.6340 1.1551 -4.3424 -1.1556 4.3402 0.7693 1.4479" Properties=species:S:1:pos:R:3 pbc="T T T"
Nd -0.6338 -0.7852 2.3170
Pu 0.5776 -2.1712 -0.5778
Pu 2.1701 0.3846 0.7240
Sb 2.1139 -2.5718 2.4631
```


Record 10
A relaxed Nd2SmPuSb4 crystal. Source: Alexandria, functional PBE-GGA.

## Properties
raw formation energy: -1.030 eV/atom
SG: P2/m (10)
total magnetization: 5.0 μB/f.u.
electronic total energy: -53.32 eV/cell

extended XYZ file:
```
8
Lattice="4.4932 0.0000 0.0000 0.0000 7.7671 0.1344 0.0000 -2.7143 7.2785" Properties=species:S:1:pos:R:3 pbc="T T T"
Nd 0.0000 2.5264 3.7064
Nd 2.2466 -1.3572 3.6393
Pu 0.0000 0.0000 0.0000
Sm 2.2466 3.8835 0.0672
Sb 0.0000 5.1641 1.8839
Sb 0.0000 -0.1113 5.5290
Sb 2.2466 1.2475 1.8044
Sb 2.2466 3.8052 5.6085
```


Record 11
A relaxed NdSmPu2Sb4 crystal. Source: Alexandria, functional PBE-GGA.

## Properties
raw formation energy: -0.885 eV/atom
SG: P2/m (10)
total magnetization: 10.1 μB/f.u.
electronic total energy: -61.72 eV/cell

extended XYZ file:
```
8
Lattice="4.4653 0.0000 0.0000 0.0000 7.7132 -0.1467 0.0000 2.7211 7.2377" Properties=species:S:1:pos:R:3 pbc="T T T"
Sb 0.0001 7.8742 5.2867
Sb 4.4653 2.5602 1.8044
Sb 2.2327 6.5144 1.6938
Sb 2.2327 3.9200 5.3972
Pu 0.0000 2.7211 7.2377
Pu 2.2327 1.3606 3.6189
Nd 2.2327 3.8566 -0.0733
Sm 0.0000 5.2171 3.5456
```


Record 12
A relaxed NdPu2ThSb4 crystal. Source: Alexandria, functional PBE-GGA.

## Properties
raw formation energy: -0.842 eV/atom
SG: P2/m (10)
total magnetization: 0.1 μB/f.u.
electronic total energy: -64.07 eV/cell

extended XYZ file:
```
8
Lattice="-0.1273 -1.1800 4.3250 5.3610 -5.4100 -1.3183 7.0789 3.0407 1.0380" Properties=species:S:1:pos:R:3 pbc="T T T"
Nd 2.6169 -3.2950 1.5033
Sb 5.7433 -3.9225 1.4241
Sb 2.9728 -1.7275 4.2668
Sb 9.3399 -1.8218 -0.2222
Sb 6.5694 0.3732 2.6205
Pu 7.0789 3.0407 1.0380
Pu 3.4758 0.9303 2.6815
Th 6.2200 -1.1846 -0.1401
```


Question: Which value of electronic total energy does entry 7 give?
Answer: -89.76 eV/cell


Question: Which formula does entry 10 have?
Answer: Nd2SmPuSb4